[1]
{
  "formula": "K2As2W",
  "functional": "GGA-PBE",
  "state": "optimized geometry",
  "delta_e_f_ev_per_atom": 1.42,
  "cell": [[2.1128, -2.3480, 5.0313], [-3.9446, 2.4827, 3.6834], [-1.4577, -3.1696, -4.8083]],
  "species": ["K", "K", "As", "As", "W"],
  "fractional_positions": [[0.6455, 0.6455, 0.0000], [0.3545, 0.3545, 0.0000], [0.2500, 0.7500, 0.5000], [0.7500, 0.2500, 0.5000], [0.0000, 0.0000, 0.0000]]
}

[2]
{
  "formula": "K2YAsW",
  "functional": "GGA-PBE",
  "state": "optimized geometry",
  "delta_e_f_ev_per_atom": 1.19,
  "cell": [[-1.8501, 1.9036, 6.0737], [-3.8426, -2.8797, -0.2679], [3.5307, -4.9558, 2.6288]],
  "species": ["Y", "As", "K", "K", "W"],
  "fractional_positions": [[0.5000, 0.5000, 0.5000], [0.0000, 0.5000, 0.0000], [0.0000, 0.0000, 0.5000], [0.5000, 0.0000, 0.0000], [0.0000, 0.0000, 0.0000]]
}

[3]
{
  "formula": "KZnAs2W",
  "functional": "GGA-PBE",
  "state": "optimized geometry",
  "delta_e_f_ev_per_atom": 2.50,
  "cell": [[5.4540, 0.0000, 0.0000], [0.0000, 5.6483, 0.0000], [0.0000, 0.0000, 5.4540]],
  "species": ["K", "As", "As", "Zn", "W"],
  "fractional_positions": [[0.0000, 0.0000, 0.0000], [0.0000, 0.0000, 0.5000], [0.5000, 0.0000, 0.0000], [0.5000, 0.5000, 0.5000], [0.0000, 0.5000, 0.0000]]
}

[4]
{
  "formula": "K2YAs",
  "functional": "GGA-PBE",
  "state": "optimized geometry",
  "delta_e_f_ev_per_atom": -0.15,
  "cell": [[-7.3290, 7.5683, 6.2427], [-8.3838, -0.7846, -8.8915], [-8.9990, 1.2402, -0.0573]],
  "species": ["Y", "Y", "As", "As", "K", "K", "K", "K"],
  "fractional_positions": [[0.0000, 0.0000, 0.0000], [0.7500, 0.2500, 0.5000], [0.5000, 0.5000, 0.0000], [0.2500, 0.7500, 0.5000], [0.4807, 0.1250, 0.2500], [0.2693, 0.6250, 0.2500], [0.3750, 0.5193, 0.7500], [0.8750, 0.7307, 0.7500]]
}

[5]
{
  "formula": "K2YAs",
  "functional": "GGA-PBE",
  "state": "optimized geometry",
  "delta_e_f_ev_per_atom": 0.06,
  "cell": [[4.9018, 0.0000, 0.0000], [0.0000, 4.8869, 0.0000], [0.0000, 0.0000, 5.9225]],
  "species": ["As", "K", "K", "Y"],
  "fractional_positions": [[0.5000, 0.5000, 0.7500], [0.0000, 0.0000, 0.9815], [0.0000, 0.0000, 0.5185], [0.5000, 0.5000, 0.2500]]
}

[6]
{
  "formula": "K2YAs",
  "functional": "GGA-PBE",
  "state": "optimized geometry",
  "delta_e_f_ev_per_atom": -0.46,
  "cell": [[-3.1087, 0.8269, -2.4046], [1.6310, -2.2653, -2.8876], [-5.2868, -8.7038, 3.8417]],
  "species": ["As", "K", "K", "Y"],
  "fractional_positions": [[0.5000, 0.5000, 0.6403], [0.0000, 0.0000, 0.9483], [0.5000, 0.5000, 0.3060], [0.0000, 0.0000, 0.6054]]
}

Calculated V in order - 27.540; 42.261; 33.604; 51.476; 35.468; 43.890 Å³/atom
Calculated density of states at the Fermi level in order - 0.558; 1.149; 0.733; 0.111; 0.667; 0.575 states/eV/atom
Calculated calculated total energy in order - -17.346; -20.325; -12.138; -27.788; -13.058; -15.135 eV per cell